The following is a GGA-PBE calculation of Dy5Tm2Ru5 after structural relaxation, from Alexandria.

Structure (POSCAR):
```
Dy5Tm2Ru5
1.0
4.178 -2.411 0.000
4.178 2.411 0.000
-2.771 0.000 13.068
Dy Tm Ru
5 2 5
Cartesian
0.000 0.000 0.000
0.009 0.000 7.474
0.011 0.000 11.136
5.575 0.000 1.932
5.577 0.000 5.593
2.791 0.000 3.714
2.795 0.000 9.354
0.005 0.000 4.476
2.786 0.000 0.860
2.793 0.000 6.534
2.800 0.000 12.208
5.581 0.000 8.591
```

Calculated values
Total magnetic moment, μB per atom: 0.00
DFT formation energy, eV/atom: -0.24
Total energy, eV per atom: -6.770
DOS(E_F), states/eV per cell: 8.1
SG: C2/m